(1)
Crystalline Sr2Mg4ZnAu3 at its relaxed geometry, computed with GGA-PBE.

abc: 4.8175 4.8175 10.5916
angles: 90.00 90.00 90.00
Closest atoms and distances in Å follow each position.
Sites, in units of the cell vectors:
Sr1 0.0000 0.5000 0.2363  2 Zn 3.47, 6 Au 3.47-3.69, 9 Mg 3.63-3.76
Sr2 0.5000 0.0000 0.7637  2 Zn 3.47, 6 Au 3.47-3.69, 9 Mg 3.63-3.76
Mg1 0.0000 0.0000 0.5000  4 Au 2.77
Mg2 0.0000 0.5000 0.8813  3 Au 2.67-2.72, 2 Zn 2.72
Mg3 0.5000 0.0000 0.1187  3 Au 2.67-2.72, 2 Zn 2.72
Mg4 0.5000 0.5000 0.5000  4 Au 2.77
Zn1 0.5000 0.5000 0.0000  4 Mg 2.72
Au1 0.0000 0.0000 0.0000  4 Mg 2.72
Au2 0.0000 0.5000 0.6289  5 Mg 2.67-2.77
Au3 0.5000 0.0000 0.3711  5 Mg 2.67-2.77

Summary:
* SG: P-4m2, No. 115
* calculated formation energy: -0.493 eV per atom
* size of the total moment: 0.00 μB per formula unit


(2)
Crystalline SrMg2Zn2Au2 at its relaxed geometry, computed with GGA-PBE.

abc: 9.0793 9.0793 9.0793
angles: 29.05 29.05 29.05
Closest atoms and distances in Å follow each position.
Sites, in units of the cell vectors:
Sr1 0.0000 0.0000 0.0000  6 Zn 3.46, 2 Mg 3.50, 6 Au 3.54
Mg1 0.1341 0.1341 0.1341  4 Au 2.82-2.86, 3 Zn 2.91, 3 Mg 3.13
Mg2 0.8659 0.8659 0.8659  4 Au 2.82-2.86, 3 Zn 2.91, 3 Mg 3.13
Zn1 0.4193 0.4193 0.4193  3 Au 2.63, 3 Mg 2.91
Zn2 0.5807 0.5807 0.5807  3 Au 2.63, 3 Mg 2.91
Au1 0.2424 0.2424 0.2424  3 Zn 2.63, 4 Mg 2.82-2.86
Au2 0.7575 0.7575 0.7575  3 Zn 2.63, 4 Mg 2.82-2.86

Summary:
* SG: R-3m, No. 166
* calculated formation energy: -0.479 eV per atom
* size of the total moment: 0.00 μB per formula unit


(3)
Crystalline Sr3Mg2Zn2Au4 at its relaxed geometry, computed with GGA-PBE.

abc: 4.5577 4.5577 16.0856
angles: 90.00 90.00 120.00
Closest atoms and distances in Å follow each position.
Sites, in units of the cell vectors:
Sr1 0.0000 0.0000 0.0000  6 Au 3.39, 6 Zn 3.42
Sr2 0.0000 0.0000 0.2673  6 Au 3.27-3.41, 3 Zn 3.38
Sr3 0.0000 0.0000 0.7327  6 Au 3.27-3.41, 3 Zn 3.38
Mg1 0.3333 0.6667 0.5605  4 Au 2.76-2.77
Mg2 0.6667 0.3333 0.4395  4 Au 2.76-2.77
Zn1 0.3333 0.6667 0.1359  3 Au 2.63
Zn2 0.6667 0.3333 0.8641  3 Au 2.63
Au1 0.3333 0.6667 0.3883  4 Mg 2.76-2.77
Au2 0.3333 0.6667 0.8673  3 Zn 2.63
Au3 0.6667 0.3333 0.1327  3 Zn 2.63
Au4 0.6667 0.3333 0.6117  4 Mg 2.76-2.77

Summary:
* SG: P-3m1, No. 164
* calculated formation energy: -0.568 eV per atom
* size of the total moment: 0.00 μB per formula unit


Among the records above, which one has the highest calculated formation energy?
SrMg2Zn2Au2


Number 3 is which compound?
Sr3Mg2Zn2Au4


Repeat the first record exactly.
Crystalline Sr2Mg4ZnAu3 at its relaxed geometry, computed with GGA-PBE.

abc: 4.8175 4.8175 10.5916
angles: 90.00 90.00 90.00
Closest atoms and distances in Å follow each position.
Sites, in units of the cell vectors:
Sr1 0.0000 0.5000 0.2363  2 Zn 3.47, 6 Au 3.47-3.69, 9 Mg 3.63-3.76
Sr2 0.5000 0.0000 0.7637  2 Zn 3.47, 6 Au 3.47-3.69, 9 Mg 3.63-3.76
Mg1 0.0000 0.0000 0.5000  4 Au 2.77
Mg2 0.0000 0.5000 0.8813  3 Au 2.67-2.72, 2 Zn 2.72
Mg3 0.5000 0.0000 0.1187  3 Au 2.67-2.72, 2 Zn 2.72
Mg4 0.5000 0.5000 0.5000  4 Au 2.77
Zn1 0.5000 0.5000 0.0000  4 Mg 2.72
Au1 0.0000 0.0000 0.0000  4 Mg 2.72
Au2 0.0000 0.5000 0.6289  5 Mg 2.67-2.77
Au3 0.5000 0.0000 0.3711  5 Mg 2.67-2.77

Summary:
* SG: P-4m2, No. 115
* calculated formation energy: -0.493 eV per atom
* size of the total moment: 0.00 μB per formula unit